VASP calculation (meta-GGA SCAN) on a PBEsol-optimized structure of Ba4LiNb3O12.

```
data_Ba4LiNb3O12
_chemical_formula_sum 'Ba8 Li2 Nb6 O24'
_space_group_name_H-M_alt 'P 63 m c'
_space_group_IT_number 186
_space_group_name_Hall 'P 6c -2c'
_cell_length_a 5.8049
_cell_length_b 5.8049
_cell_length_c 19.1273
_cell_angle_alpha 90.00
_cell_angle_beta 90.00
_cell_angle_gamma 120.00
loop_
_atom_site_label
_atom_site_type_symbol
_atom_site_fract_x
_atom_site_fract_y
_atom_site_fract_z
_atom_site_occupancy
Ba1 Ba 0.0000 0.0000 0.0000 1
Ba2 Ba 0.3333 0.6667 0.1315 1
Ba3 Ba 0.3333 0.6667 0.3581 1
Ba4 Ba 0.3333 0.6667 0.7525 1
Li1 Li 0.0000 0.0000 0.3358 1
Nb1 Nb 0.0000 0.0000 0.1938 1
Nb2 Nb 0.3333 0.6667 0.5623 1
Nb3 Nb 0.3333 0.6667 0.9342 1
O1 O 0.0011 0.5006 0.5048 1
O2 O 0.1609 0.3219 0.2458 1
O3 O 0.1689 0.3378 0.6237 1
O4 O 0.1716 0.3432 0.8827 1
```

Output
* M_tot: 0.0 Bohr magnetons per cell
* energy relative to the elements, uncorrected: -3.05 eV per atom
* uncorrected energy: -791.68 eV per cell
* DOS(E_F): 0.00 states/eV/cell